(1)
# LiAl2TeO6

LiAl2TeO6 after structural relaxation (PBE, the Alexandria database).

For the calculated density, the calculation gives 4.09 g cm⁻³. Its size of the total moment is 0.9 μB per formula unit. For the uncorrected energy, the calculation gives -63.29 eV/f.u.

a = 5.276 Å, b = 6.697 Å, c = 6.697 Å
α = 85.25°, β = 81.34°, γ = 81.34°
Last column: magnetic moment on the atom in μB.
Atoms (fractional coordinates):
O1 0.356 0.223 0.004  0.04
O2 0.644 0.777 0.996  0.04
O3 0.586 0.413 0.281  0.10
Al1 0.282 0.392 0.206  0.00
Li1 0.250 0.911 0.089  0.00
Al2 0.718 0.608 0.794  0.00
Al3 0.782 0.206 0.392  0.00
O4 0.086 0.281 0.413  0.10
O5 0.109 0.630 0.138  0.17
Li2 0.750 0.089 0.911  0.00
O6 0.391 0.862 0.370  0.17
O7 0.914 0.719 0.587  0.10
O8 0.891 0.370 0.862  0.17
O9 0.144 0.996 0.777  0.04
Al4 0.218 0.794 0.608  0.00
O10 0.856 0.004 0.223  0.04
O11 0.609 0.138 0.630  0.17
Te1 0.750 0.735 0.265  0.19
O12 0.414 0.587 0.719  0.10
Te2 0.250 0.265 0.735  0.19

(2)
# Li2TiAlO4

Li2TiAlO4 after structural relaxation (PBE, the Alexandria database).

For the calculated density, the calculation gives 3.55 g cm⁻³. Its size of the total moment is 0.9 μB per formula unit. For the uncorrected energy, the calculation gives -56.08 eV/f.u.

a = 2.861 Å, b = 5.123 Å, c = 5.167 Å
α = 109.26°, β = 90.00°, γ = 90.00°
Last column: magnetic moment on the atom in μB.
Atoms (fractional coordinates):
Al1 0.500 0.500 0.000  0.01
O1 0.000 0.729 0.216  0.00
O2 0.000 0.271 0.784  0.00
Li1 0.500 0.000 0.500  0.00
Li2 0.000 0.500 0.500  0.00
O3 0.500 0.265 0.230  0.01
Ti1 0.000 0.000 0.000  0.75
O4 0.500 0.735 0.770  0.01